VASP calculation (SCAN) on ReAg2As at its PBEsol-relaxed geometry.

Calculated values
E   -2.798 Ry per atom
Crystal system   orthorhombic
Energy of formation   0.437 eV/atom
N(E_F)   2.4 states/eV/f.u.
Space group   Cmm2

Cell lengths 2.791, 2.791, 9.412 Å; angles 90.00, 90.00, 113.99 degrees
Fractional coordinates of all 4 atoms:
Re  0.500  0.500  0.262
As  0.000  0.000  0.472
Ag  0.000  0.000  0.007
Ag  0.500  0.500  0.759